InWNF2, relaxed, DFT GGA+U; energy relative to the lowest polymorph listed for this composition = 717 meV/atom; calculated volume = 15.3 Å³/atom; final energy = -4.73 eV per atom; D(E_F) = 0.12 states/eV/atom; space-group type = No. 123
1.0
4.1761 0.0000 0.0000
0.0000 4.1761 0.0000
0.0000 0.0000 4.3961
In W N F
1 1 1 2
Direct
0.0000 0.0000 0.0000
0.5000 0.5000 0.5000
0.0000 0.0000 0.5000
0.0000 0.5000 0.0000
0.5000 0.0000 0.0000